Compound: CsVTe2O8
Source: the Alexandria database
Functional: PBE+U
Structure: relaxed

## Properties
Its calculated total energy is -5.703 eV per atom. Its symmetry is P-3. The crystal system is trigonal. The value obtained for the total moment is 0.00 μB per formula unit.

abc: 5.4696 5.4696 8.9039
angles: 90.00 90.00 120.00
Fractional coordinates of all 12 atoms:
Cs (0.0000, 0.0000, 0.0000)
V (0.0000, 0.0000, 0.5000)
Te (0.3333, 0.6667, 0.6673)
Te (0.6667, 0.3333, 0.3327)
O (0.0102, 0.2903, 0.6239)
O (0.2801, 0.9898, 0.6239)
O (0.2903, 0.2801, 0.3761)
O (0.3333, 0.6667, 0.8716)
O (0.6667, 0.3333, 0.1284)
O (0.7097, 0.7199, 0.6239)
O (0.7199, 0.0102, 0.3761)
O (0.9898, 0.7097, 0.3761)